Entry 1:
A relaxed structure of Sm3Zr2Sn3, computed with PBE.

Unit cell a=8.993 b=8.993 c=6.143 alpha=90.00 beta=90.00 gamma=120.00
Positions (direct):
Sm 0.000 0.242 0.250
Sm 0.000 0.758 0.750
Sm 0.242 0.000 0.250
Sm 0.242 0.242 0.750
Sm 0.758 0.000 0.750
Sm 0.758 0.758 0.250
Zr 0.333 0.667 0.000
Zr 0.333 0.667 0.500
Zr 0.667 0.333 0.000
Zr 0.667 0.333 0.500
Sn 0.000 0.403 0.750
Sn 0.000 0.597 0.250
Sn 0.403 0.000 0.750
Sn 0.403 0.403 0.250
Sn 0.597 0.000 0.250
Sn 0.597 0.597 0.750

Computed properties:
The symmetry is P6_3/mcm. Its total energy is -96.823 eV/cell. The formation energy is -643.6 meV/atom. The theoretical density is 7.64 g cm⁻³.

***

Entry 2:
A relaxed structure of Sm5ZrSn5, computed with PBE.

Unit cell a=7.806 b=7.806 c=8.376 alpha=106.35 beta=106.35 gamma=46.71
Positions (direct):
Sm 0.000 0.000 0.000
Sm 0.325 0.325 0.169
Sm 0.339 0.339 0.678
Sm 0.661 0.661 0.322
Sm 0.675 0.675 0.831
Zr 0.000 0.000 0.500
Sn 0.160 0.160 0.346
Sn 0.160 0.160 0.823
Sn 0.500 0.500 0.500
Sn 0.840 0.840 0.177
Sn 0.840 0.840 0.654

Computed properties:
The symmetry is C2/m. Its total energy is -56.976 eV/cell. The formation energy is -438.0 meV/atom. The theoretical density is 6.75 g cm⁻³.

***

Entry 3:
A relaxed structure of SmZrSn2, computed with PBE.

Unit cell a=6.096 b=6.096 c=6.096 alpha=46.12 beta=46.12 gamma=46.12
Positions (direct):
Sm 0.000 0.000 0.000
Zr 0.500 0.500 0.500
Sn 0.239 0.239 0.239
Sn 0.761 0.761 0.761

Computed properties:
The symmetry is R-3m. Its total energy is -23.208 eV/cell. The formation energy is -483.7 meV/atom. The theoretical density is 7.41 g cm⁻³.

***

Entry 4:
A relaxed structure of SmZrSn, computed with PBE.

Unit cell a=5.194 b=5.194 c=3.192 alpha=90.00 beta=90.00 gamma=120.00
Positions (direct):
Sm 0.000 0.000 0.000
Zr 0.667 0.333 0.983
Sn 0.333 0.667 0.505

Computed properties:
The symmetry is P3m1. Its total energy is -17.377 eV/cell. The formation energy is -35.6 meV/atom. The theoretical density is 8.02 g cm⁻³.

***

Entry 5:
A relaxed structure of SmZrSn2, computed with PBE.

Unit cell a=4.730 b=4.730 c=4.452 alpha=90.00 beta=90.00 gamma=90.00
Positions (direct):
Sm 0.000 0.000 0.000
Zr 0.500 0.500 0.000
Sn 0.000 0.500 0.500
Sn 0.500 0.000 0.500

Computed properties:
The symmetry is P4/mmm. Its total energy is -23.150 eV/cell. The formation energy is -469.2 meV/atom. The theoretical density is 7.99 g cm⁻³.

***

Entry 6:
A relaxed structure of Sm5ZrSn4, computed with PBE.

Unit cell a=9.779 b=9.779 c=8.814 alpha=106.39 beta=106.39 gamma=23.66
Positions (direct):
Sm 0.000 0.000 0.000
Sm 0.330 0.330 0.128
Sm 0.332 0.332 0.682
Sm 0.668 0.668 0.318
Sm 0.670 0.670 0.872
Zr 0.000 0.000 0.500
Sn 0.163 0.163 0.593
Sn 0.499 0.499 0.262
Sn 0.501 0.501 0.738
Sn 0.837 0.837 0.407

Computed properties:
The symmetry is C2/m. Its total energy is -51.442 eV/cell. The formation energy is -328.7 meV/atom. The theoretical density is 6.76 g cm⁻³.

***

Entry 7:
A relaxed structure of Sr4Sm, computed with PBE.

Unit cell a=6.479 b=6.479 c=6.479 alpha=90.00 beta=90.00 gamma=90.00
Positions (direct):
Sr 0.000 0.000 0.000
Sr 0.000 0.500 0.500
Sr 0.500 0.000 0.500
Sr 0.500 0.500 0.000
Sm 0.500 0.500 0.500

Computed properties:
The symmetry is Pm-3m. Its total energy is -8.731 eV/cell. The formation energy is 543.1 meV/atom. The theoretical density is 3.06 g cm⁻³.

***

Entry 8:
A relaxed structure of SrSm4, computed with PBE.

Unit cell a=5.819 b=5.819 c=5.819 alpha=90.00 beta=90.00 gamma=90.00
Positions (direct):
Sr 0.000 0.000 0.000
Sm 0.000 0.000 0.500
Sm 0.000 0.500 0.000
Sm 0.500 0.000 0.000
Sm 0.500 0.500 0.500

Computed properties:
The symmetry is Pm-3m. Its total energy is -15.871 eV/cell. The formation energy is 937.4 meV/atom. The theoretical density is 5.81 g cm⁻³.

***

Entry 9:
A relaxed structure of SrSm6, computed with PBE.

Unit cell a=7.191 b=7.191 c=7.191 alpha=109.47 beta=109.47 gamma=109.47
Positions (direct):
Sr 0.000 0.000 0.000
Sm 0.250 0.500 0.750
Sm 0.250 0.750 0.500
Sm 0.500 0.250 0.750
Sm 0.500 0.750 0.250
Sm 0.750 0.250 0.500
Sm 0.750 0.500 0.250

Computed properties:
The symmetry is Im-3m. Its total energy is -22.106 eV/cell. The formation energy is 1127.3 meV/atom. The theoretical density is 5.74 g cm⁻³.

***

Entry 10:
A relaxed structure of SrTb6Sm12, computed with PBE.

Unit cell a=8.863 b=8.863 c=8.863 alpha=98.26 beta=98.26 gamma=98.26
Positions (direct):
Sr 0.000 0.000 0.000
Tb 0.101 0.101 0.651
Tb 0.101 0.651 0.101
Tb 0.349 0.899 0.899
Tb 0.651 0.101 0.101
Tb 0.899 0.349 0.899
Tb 0.899 0.899 0.349
Sm 0.086 0.361 0.361
Sm 0.238 0.500 0.762
Sm 0.238 0.762 0.500
Sm 0.361 0.086 0.361
Sm 0.361 0.361 0.086
Sm 0.500 0.238 0.762
Sm 0.500 0.762 0.238
Sm 0.639 0.639 0.914
Sm 0.639 0.914 0.639
Sm 0.762 0.238 0.500
Sm 0.762 0.500 0.238
Sm 0.914 0.639 0.639

Computed properties:
The symmetry is R-3m. Its total energy is -82.249 eV/cell. The formation energy is 202.3 meV/atom. The theoretical density is 7.03 g cm⁻³.

***

Entry 11:
A relaxed structure of SrTb4Sm, computed with PBE.

Unit cell a=6.777 b=6.777 c=6.777 alpha=60.00 beta=60.00 gamma=60.00
Positions (direct):
Sr 0.000 0.000 0.000
Tb 0.133 0.622 0.622
Tb 0.622 0.133 0.622
Tb 0.622 0.622 0.133
Tb 0.622 0.622 0.622
Sm 0.250 0.250 0.250

Computed properties:
The symmetry is F-43m. Its total energy is -23.410 eV/cell. The formation energy is 252.0 meV/atom. The theoretical density is 6.59 g cm⁻³.

***

Entry 12:
A relaxed structure of SrTbSm14, computed with PBE.

Unit cell a=7.333 b=7.333 c=10.259 alpha=90.00 beta=90.00 gamma=90.00
Positions (direct):
Sr 0.000 0.000 0.000
Tb 0.500 0.500 0.000
Sm 0.000 0.000 0.500
Sm 0.000 0.500 0.000
Sm 0.000 0.500 0.500
Sm 0.256 0.256 0.254
Sm 0.256 0.256 0.746
Sm 0.256 0.744 0.254
Sm 0.256 0.744 0.746
Sm 0.500 0.000 0.000
Sm 0.500 0.000 0.500
Sm 0.500 0.500 0.500
Sm 0.744 0.256 0.254
Sm 0.744 0.256 0.746
Sm 0.744 0.744 0.254
Sm 0.744 0.744 0.746

Computed properties:
The symmetry is P4/mmm. Its total energy is -71.559 eV/cell. The formation energy is 51.3 meV/atom. The theoretical density is 7.08 g cm⁻³.